{"formula": "Sm2CdSn3Pd4", "functional": "GGA-PBE", "state": "relaxed", "spacegroup": "P-4m2", "e_tot_ev_per_atom": -5.01, "m_tot_mub_per_atom": 0.000, "formation_energy_mev_per_atom": -692, "cell": [[-2.1070, 0.9702, -3.8533], [1.3879, -3.9071, -1.7427], [-9.1203, -4.9125, 3.7502]], "species": ["Cd", "Pd", "Sm", "Sn", "Pd", "Sn", "Sm", "Pd", "Sn", "Pd"], "fractional_positions": [[0.5000, 0.5000, 0.5000], [0.0000, 0.0000, 0.0000], [0.5000, 0.0000, 0.2442], [0.5000, 0.0000, 0.8711], [0.5000, 0.0000, 0.6383], [0.0000, 0.0000, 0.5000], [0.0000, 0.5000, 0.7558], [0.5000, 0.5000, 0.0000], [0.0000, 0.5000, 0.1289], [0.0000, 0.5000, 0.3617]]}

***

{"formula": "SrSmCdPd", "functional": "GGA-PBE", "state": "relaxed", "spacegroup": "F-43m", "e_tot_ev_per_atom": -3.53, "m_tot_mub_per_atom": 0.000, "formation_energy_mev_per_atom": -406, "cell": [[5.3327, 0.0000, 0.0000], [2.6664, 4.6183, 0.0000], [2.6664, 1.5394, 4.3542]], "species": ["Pd", "Sm", "Sr", "Cd"], "fractional_positions": [[0.0000, 0.0000, 0.0000], [0.7500, 0.7500, 0.7500], [0.2500, 0.2500, 0.2500], [0.5000, 0.5000, 0.5000]]}

***

{"formula": "TbSmCd2Pd4", "functional": "GGA-PBE", "state": "relaxed", "spacegroup": "R-3m", "e_tot_ev_per_atom": -4.69, "m_tot_mub_per_atom": 0.000, "formation_energy_mev_per_atom": -698, "cell": [[-0.8663, -4.4020, 1.7808], [0.7315, -3.9015, -2.7464], [7.4220, -3.1900, 2.2668]], "species": ["Pd", "Sm", "Pd", "Pd", "Cd", "Cd", "Tb", "Pd"], "fractional_positions": [[0.3769, 0.3769, 0.8694], [0.0000, 0.0000, 0.0000], [0.6231, 0.6231, 0.1306], [0.8743, 0.8743, 0.3772], [0.2497, 0.2497, 0.2510], [0.7503, 0.7503, 0.7490], [0.5000, 0.5000, 0.5000], [0.1257, 0.1257, 0.6228]]}